# 1
Entry from Alexandria: crystalline Al2SiSe2 at its relaxed geometry (GGA-PBEsol).

total moment = 0.0 μB/f.u.
calculated total energy = -4.002 eV per atom
energy relative to the elements, uncorrected = 0.3245 eV per atom
DOS(E_F) = 6.01 states/eV per cell

Cell lengths 4.370, 4.370, 11.301 Å; angles 90.00, 90.00, 90.00 degrees
Space group I4/mmm (No. 139)
Symmetry-distinct sites (fractional):
Al 0.000 0.500 0.250 [4 per cell]
Si 0.000 0.000 0.000 [2 per cell]
Se 0.000 0.000 0.363 [4 per cell]

---

# 2
Entry from Alexandria: crystalline LiHgTe at its relaxed geometry (GGA-PBEsol).

total moment = 0.0 μB/f.u.
calculated total energy = -2.362 eV per atom
polymorph energy (0 for the lowest one) = 25 meV/atom
energy relative to the elements, uncorrected = -0.3424 eV per atom
DOS(E_F) = 2.53 states/eV per cell

Cell lengths 3.273, 3.273, 12.956 Å; angles 90.00, 90.00, 90.00 degrees
Space group I4mm (No. 107)
Symmetry-distinct sites (fractional):
Li 0.000 0.000 0.000 [2 per cell]
Hg 0.000 0.000 0.351 [2 per cell]
Te 0.000 0.000 0.647 [2 per cell]

---

# 3
Entry from Alexandria: crystalline TaZn3Co at its relaxed geometry (GGA-PBEsol).

total moment = 0.0 μB/f.u.
calculated total energy = -4.211 eV per atom
energy of formation = 384 kJ/mol of formula units
DOS(E_F) = 3.41 states/eV per cell

Cell lengths 4.286, 4.286, 4.286 Å; angles 90.00, 90.00, 90.00 degrees
Space group Pm-3m (No. 221)
Symmetry-distinct sites (fractional):
Ta 0.000 0.000 0.000 [1 per cell]
Zn 0.000 0.500 0.500 [3 per cell]
Co 0.500 0.500 0.500 [1 per cell]

---

# 4
Entry from Alexandria: crystalline Sc5Hg at its relaxed geometry (GGA-PBEsol).

total moment = 0.0 μB/f.u.
calculated total energy = -5.742 eV per atom
energy of formation = -83 kJ/mol of formula units
polymorph energy (0 for the lowest one) = 10 meV/atom
DOS(E_F) = 16.54 states/eV per cell

Cell lengths 4.934, 3.326, 16.317 Å; angles 90.00, 90.00, 90.00 degrees
Space group Amm2 (No. 38)
Symmetry-distinct sites (fractional):
Sc 0.000 0.000 0.000 [2 per cell]
Sc 0.000 0.000 0.323 [2 per cell]
Sc 0.000 0.000 0.665 [2 per cell]
Sc 0.500 0.000 0.117 [2 per cell]
Sc 0.500 0.000 0.449 [2 per cell]
Hg 0.500 0.000 0.779 [2 per cell]

---

# 5
Entry from Alexandria: crystalline SrSnPt at its relaxed geometry (GGA-PBEsol).

total moment = 0.0 μB/f.u.
calculated total energy = -5.219 eV per atom
energy of formation = -250 kJ/mol of formula units
DOS(E_F) = 4.69 states/eV per cell

Cell lengths 7.596, 4.697, 7.957 Å; angles 90.00, 90.00, 90.00 degrees
Space group Pnma (No. 62)
Symmetry-distinct sites (fractional):
Sr 0.020 0.250 0.182 [4 per cell]
Sn 0.162 0.250 0.574 [4 per cell]
Pt 0.202 0.750 0.393 [4 per cell]

---

# 6
Entry from Alexandria: crystalline CaCd2Rh at its relaxed geometry (GGA-PBEsol).

total moment = 0.0 μB/f.u.
calculated total energy = -3.431 eV per atom
energy of formation = -102 kJ/mol of formula units
DOS(E_F) = 3.26 states/eV per cell

Cell lengths 4.179, 4.179, 8.747 Å; angles 90.00, 90.00, 90.00 degrees
Space group I4/mmm (No. 139)
Symmetry-distinct sites (fractional):
Ca 0.000 0.000 0.000 [2 per cell]
Cd 0.000 0.500 0.250 [4 per cell]
Rh 0.000 0.000 0.500 [2 per cell]

---

# 7
Entry from Alexandria: crystalline FeNi2Os at its relaxed geometry (GGA-PBEsol).

total moment = 0.0 μB/f.u.
calculated total energy = -8.291 eV per atom
energy of formation = 32 kJ/mol of formula units
polymorph energy (0 for the lowest one) = 0 meV/atom
DOS(E_F) = 5.10 states/eV per cell

Cell lengths 2.559, 3.519, 4.991 Å; angles 90.00, 90.00, 90.00 degrees
Space group Pmm2 (No. 25)
Symmetry-distinct sites (fractional):
Fe 0.000 0.000 0.000 [1 per cell]
Ni 0.000 0.000 0.494 [1 per cell]
Ni 0.500 0.500 0.259 [1 per cell]
Os 0.500 0.500 0.763 [1 per cell]

---

# 8
Entry from Alexandria: crystalline SrGaPdC2 at its relaxed geometry (GGA-PBEsol).

total moment = 0.8 μB/f.u.
calculated total energy = -4.732 eV per atom
energy of formation = 653 kJ/mol of formula units
DOS(E_F) = 3.94 states/eV per cell

Cell lengths 4.211, 4.211, 4.716 Å; angles 90.00, 90.00, 90.00 degrees
Space group P4/mmm (No. 123)
Symmetry-distinct sites (fractional):
Sr 0.000 0.000 0.000 [1 per cell]
Ga 0.500 0.500 0.000 [1 per cell]
Pd 0.500 0.500 0.500 [1 per cell]
C 0.000 0.500 0.500 [2 per cell]

---

# 9
Entry from Alexandria: crystalline ZnInRh at its relaxed geometry (GGA-PBEsol).

total moment = 0.0 μB/f.u.
calculated total energy = -4.465 eV per atom
energy of formation = -67 kJ/mol of formula units
DOS(E_F) = 0.97 states/eV per cell

Cell lengths 4.2832, 4.2832, 3.0108 Å; angles 90.00, 90.00, 120.00 degrees
Space group P3m1 (No. 156)
Symmetry-distinct sites (fractional):
Zn 0.0000 0.0000 0.0000 [1 per cell]
In 0.3333 0.6667 0.5075 [1 per cell]
Rh 0.6667 0.3333 0.0105 [1 per cell]

---

# 10
Entry from Alexandria: crystalline Li2CuNi at its relaxed geometry (GGA-PBEsol).

total moment = 0.0 μB/f.u.
calculated total energy = -3.576 eV per atom
energy of formation = 12 kJ/mol of formula units
polymorph energy (0 for the lowest one) = 15 meV/atom
DOS(E_F) = 1.94 states/eV per cell

Cell lengths 2.451, 3.791, 5.085 Å; angles 90.00, 90.00, 90.00 degrees
Space group Pmm2 (No. 25)
Symmetry-distinct sites (fractional):
Li 0.000 0.000 0.000 [1 per cell]
Li 0.500 0.500 0.273 [1 per cell]
Cu 0.500 0.500 0.737 [1 per cell]
Ni 0.000 0.000 0.526 [1 per cell]

---

# 11
Entry from Alexandria: crystalline Li2ReW at its relaxed geometry (GGA-PBEsol).

total moment = 0.0 μB/f.u.
calculated total energy = -7.292 eV per atom
energy of formation = 184 kJ/mol of formula units
polymorph energy (0 for the lowest one) = 221 meV/atom
DOS(E_F) = 14.04 states/eV per cell

Cell lengths 6.039, 6.039, 6.039 Å; angles 90.00, 90.00, 90.00 degrees
Space group F-43m (No. 216)
Symmetry-distinct sites (fractional):
Li 0.000 0.000 0.000 [4 per cell]
Li 0.250 0.250 0.250 [4 per cell]
Re 0.000 0.000 0.500 [4 per cell]
W 0.250 0.250 0.750 [4 per cell]

---

# 12
Entry from Alexandria: crystalline SrCd2 at its relaxed geometry (GGA-PBEsol).

total moment = 0.0 μB/f.u.
calculated total energy = -1.765 eV per atom
energy of formation = -102 kJ/mol of formula units
DOS(E_F) = 8.35 states/eV per cell

Cell lengths 5.017, 7.942, 8.340 Å; angles 90.00, 90.00, 90.00 degrees
Space group Imma (No. 74)
Symmetry-distinct sites (fractional):
Sr 0.000 0.250 0.050 [4 per cell]
Cd 0.000 0.059 0.664 [8 per cell]

---

# 13
Entry from Alexandria: crystalline Sr2ZnTe at its relaxed geometry (GGA-PBEsol).

total moment = 0.0 μB/f.u.
calculated total energy = -2.455 eV per atom
polymorph energy (0 for the lowest one) = 497 meV/atom
energy relative to the elements, uncorrected = -0.2583 eV per atom
DOS(E_F) = 9.22 states/eV per cell

Cell lengths 7.906, 7.906, 7.906 Å; angles 90.00, 90.00, 90.00 degrees
Space group F-43m (No. 216)
Symmetry-distinct sites (fractional):
Sr 0.000 0.000 0.000 [4 per cell]
Sr 0.250 0.250 0.250 [4 per cell]
Zn 0.000 0.000 0.500 [4 per cell]
Te 0.250 0.250 0.750 [4 per cell]

---

# 14
Entry from Alexandria: crystalline ScZnF2 at its relaxed geometry (GGA-PBEsol).

total moment = 0.0 μB/f.u.
calculated total energy = -5.166 eV per atom
energy relative to the elements, uncorrected = -2.1554 eV per atom
DOS(E_F) = 6.29 states/eV per cell

Cell lengths 2.9315, 2.9315, 24.9180 Å; angles 90.00, 90.00, 120.00 degrees
Space group R-3m (No. 166, hexagonal axes)
Symmetry-distinct sites (fractional):
Sc 0.0000 0.0000 0.0000 [3 per cell]
Zn 0.0000 0.0000 0.5000 [3 per cell]
F 0.0000 0.0000 0.3862 [6 per cell]

---

# 15
Entry from Alexandria: crystalline LaAg2Mo at its relaxed geometry (GGA-PBEsol).

total moment = 0.0 μB/f.u.
calculated total energy = -5.533 eV per atom
energy of formation = 155 kJ/mol of formula units
polymorph energy (0 for the lowest one) = 43 meV/atom
DOS(E_F) = 4.02 states/eV per cell

Cell lengths 4.160, 4.160, 4.477 Å; angles 90.00, 90.00, 90.00 degrees
Space group P4/mmm (No. 123)
Symmetry-distinct sites (fractional):
La 0.000 0.000 0.000 [1 per cell]
Ag 0.000 0.500 0.500 [2 per cell]
Mo 0.500 0.500 0.000 [1 per cell]

---

# 16
Entry from Alexandria: crystalline Er9Al5S21 at its relaxed geometry (GGA-PBEsol).

total moment = 0.0 μB/f.u.
calculated total energy = -6.241 eV per atom
energy relative to the elements, uncorrected = -1.7590 eV per atom
DOS(E_F) = 0.00 states/eV per cell

Cell lengths 16.3201, 16.3201, 17.9918 Å; angles 90.00, 90.00, 120.00 degrees
Space group R3 (No. 146, hexagonal axes)
Symmetry-distinct sites (fractional):
Er 0.0222 0.1995 0.0000 [9 per cell]
Er 0.0220 0.2031 0.3403 [9 per cell]
Er 0.0234 0.1967 0.6636 [9 per cell]
Er 0.1524 0.6893 0.5060 [9 per cell]
Er 0.1573 0.6841 0.8287 [9 per cell]
Er 0.1590 0.6945 0.1692 [9 per cell]
Al 0.0000 0.0000 0.2684 [3 per cell]
Al 0.0000 0.0000 0.4502 [3 per cell]
Al 0.0000 0.0000 0.7673 [3 per cell]
Al 0.0000 0.0000 0.9489 [3 per cell]
Al 0.0010 0.6703 0.3090 [9 per cell]
Al 0.0052 0.3351 0.8090 [9 per cell]
S 0.9997 0.3344 0.2656 [9 per cell]
S 0.0023 0.6674 0.0991 [9 per cell]
S 0.0080 0.1258 0.2027 [9 per cell]
S 0.0082 0.5472 0.5877 [9 per cell]
S 0.0112 0.1216 0.8626 [9 per cell]
S 0.0151 0.1319 0.5185 [9 per cell]
S 0.0172 0.5487 0.9250 [9 per cell]
S 0.0224 0.5573 0.2567 [9 per cell]
S 0.1216 0.1108 0.3640 [9 per cell]
S 0.1271 0.1166 0.7021 [9 per cell]
S 0.1292 0.3423 0.0915 [9 per cell]
S 0.1307 0.1180 0.0173 [9 per cell]
S 0.1313 0.3561 0.4237 [9 per cell]
S 0.1348 0.3505 0.7542 [9 per cell]

---

# 17
Entry from Alexandria: crystalline Y4TeSe at its relaxed geometry (GGA-PBEsol).

total moment = 0.0 μB/f.u.
calculated total energy = -5.869 eV per atom
energy relative to the elements, uncorrected = -0.0914 eV per atom
DOS(E_F) = 20.50 states/eV per cell

Cell lengths 8.670, 8.670, 8.670 Å; angles 90.00, 90.00, 90.00 degrees
Space group F-43m (No. 216)
Symmetry-distinct sites (fractional):
Y 0.125 0.125 0.125 [16 per cell]
Te 0.000 0.000 0.500 [4 per cell]
Se 0.250 0.250 0.750 [4 per cell]

---

# 18
Entry from Alexandria: crystalline Pr3Si3Ni at its relaxed geometry (GGA-PBEsol).

total moment = 0.0 μB/f.u.
calculated total energy = -6.315 eV per atom
energy relative to the elements, uncorrected = -0.7507 eV per atom
DOS(E_F) = 11.58 states/eV per cell

Cell lengths 4.002, 4.279, 17.911 Å; angles 90.00, 90.00, 90.00 degrees
Space group Imm2 (No. 44)
Symmetry-distinct sites (fractional):
Pr 0.000 0.000 0.000 [2 per cell]
Pr 0.000 0.000 0.367 [2 per cell]
Pr 0.000 0.500 0.681 [2 per cell]
Si 0.000 0.000 0.549 [2 per cell]
Si 0.000 0.000 0.819 [2 per cell]
Si 0.000 0.500 0.239 [2 per cell]
Ni 0.000 0.500 0.113 [2 per cell]

---

# 19
Entry from Alexandria: crystalline TiNb3Ga at its relaxed geometry (GGA-PBEsol).

total moment = 0.0 μB/f.u.
calculated total energy = -7.701 eV per atom
energy of formation = 542 kJ/mol of formula units
polymorph energy (0 for the lowest one) = 37 meV/atom
DOS(E_F) = 4.46 states/eV per cell

Cell lengths 4.615, 4.615, 4.615 Å; angles 90.00, 90.00, 90.00 degrees
Space group Pm-3m (No. 221)
Symmetry-distinct sites (fractional):
Ti 0.000 0.000 0.000 [1 per cell]
Nb 0.000 0.000 0.500 [3 per cell]
Ga 0.500 0.500 0.500 [1 per cell]

---

# 20
Entry from Alexandria: crystalline Ta2OsAu at its relaxed geometry (GGA-PBEsol).

total moment = 0.0 μB/f.u.
calculated total energy = -10.293 eV per atom
energy of formation = 7 kJ/mol of formula units
polymorph energy (0 for the lowest one) = 0 meV/atom
DOS(E_F) = 3.55 states/eV per cell

Cell lengths 4.675, 4.675, 3.031 Å; angles 90.00, 90.00, 90.00 degrees
Space group P4/mmm (No. 123)
Symmetry-distinct sites (fractional):
Ta 0.000 0.500 0.000 [2 per cell]
Os 0.000 0.000 0.500 [1 per cell]
Au 0.500 0.500 0.500 [1 per cell]